Mg2TaPt: PBEsol geometry, meta-GGA SCAN.

Properties
Calculated volume in Å³/atom: 16.947
Crystal system: monoclinic
Calculated formation energy in kcal/mol of atoms: -5.6
Total DFT energy (no corrections) in eV/atom: -36.93

Geometry as CIF:
```
data_Mg2TaPt
_space_group_name_H-M_alt 'P 1 2/m 1'
_space_group_IT_number 10
_cell_length_a 2.8215
_cell_length_b 4.5966
_cell_length_c 5.3177
_cell_angle_alpha 90.00
_cell_angle_beta 100.62
_cell_angle_gamma 90.00
loop_
_space_group_symop_operation_xyz
'x,y,z'
'-x,-y,-z'
'-x,y,-z'
'x,-y,z'
loop_
_atom_site_label
_atom_site_fract_x
_atom_site_fract_y
_atom_site_fract_z
_atom_site_occupancy
Mg1 0.1808 0.0000 0.2592 1
Ta1 0.5000 0.5000 0.0000 1
Pt1 0.0000 0.5000 0.5000 1
```